# 1
# Pr5In2H (GGA-PBE, relaxed)
data_Pr5In2H
_chemical_formula_sum 'Pr5 In2 H1'
_space_group_name_H-M_alt 'P 1'
_space_group_IT_number 1
_cell_length_a 6.8973
_cell_length_b 6.8973
_cell_length_c 6.8973
_cell_angle_alpha 117.12
_cell_angle_beta 117.12
_cell_angle_gamma 95.06
loop_
_space_group_symop_operation_xyz
'x,y,z'
loop_
_atom_site_label
_atom_site_type_symbol
_atom_site_fract_x
_atom_site_fract_y
_atom_site_fract_z
Pr1 Pr 0.0000 0.0000 0.0000
Pr2 Pr 0.4959 0.4959 0.5003
Pr3 Pr 0.4959 0.9956 0.0000
Pr4 Pr 0.9956 0.4959 0.0000
Pr5 Pr 0.9956 0.9956 0.4997
In1 In 0.4972 0.9972 0.5000
In2 In 0.9972 0.4972 0.5000
H1 H 0.2549 0.2549 0.0000
# Crystal system: tetragonal
# E_tot in eV per atom: -4.293
# Volume in Å³/atom: 30.1
# Total moment in μB/atom: 0.00
# Symmetry: I4mm
# DOS(E_F) in states/eV/atom: 1.135

***

# 2
# NiAg2Rh (GGA-PBE, relaxed)
data_NiAg2Rh
_chemical_formula_sum 'Ni1 Ag2 Rh1'
_space_group_name_H-M_alt 'P 1'
_space_group_IT_number 1
_cell_length_a 4.4411
_cell_length_b 4.4411
_cell_length_c 4.4411
_cell_angle_alpha 60.00
_cell_angle_beta 60.00
_cell_angle_gamma 60.00
loop_
_space_group_symop_operation_xyz
'x,y,z'
loop_
_atom_site_label
_atom_site_type_symbol
_atom_site_fract_x
_atom_site_fract_y
_atom_site_fract_z
Ni1 Ni 0.0000 0.0000 0.0000
Ag1 Ag 0.2500 0.2500 0.2500
Ag2 Ag 0.7500 0.7500 0.7500
Rh1 Rh 0.5000 0.5000 0.5000
# Crystal system: cubic
# E_tot in eV per atom: -4.295
# Volume in Å³/atom: 15.5
# Total moment in μB/atom: 0.25
# ΔE_f in kJ per mole of atoms: 40
# Symmetry: Fm-3m
# Energy relative to the lowest polymorph listed for this composition in meV per atom: 265
# DOS(E_F) in states/eV/atom: 2.034

***

# 3
# CsRb2PdF6 (GGA-PBE, relaxed)
data_CsRb2PdF6
_chemical_formula_sum 'Cs2 Rb4 Pd2 F12'
_space_group_name_H-M_alt 'P 1'
_space_group_IT_number 1
_cell_length_a 6.6243
_cell_length_b 6.7146
_cell_length_c 11.4079
_cell_angle_alpha 90.00
_cell_angle_beta 121.98
_cell_angle_gamma 90.00
loop_
_space_group_symop_operation_xyz
'x,y,z'
loop_
_atom_site_label
_atom_site_type_symbol
_atom_site_fract_x
_atom_site_fract_y
_atom_site_fract_z
Cs1 Cs 0.0000 0.0000 0.0000
Cs2 Cs 0.0000 0.5000 0.5000
Rb1 Rb 0.2696 0.0480 0.7560
Rb2 Rb 0.2696 0.4520 0.2560
Rb3 Rb 0.7304 0.5480 0.7440
Rb4 Rb 0.7304 0.9520 0.2440
Pd1 Pd 0.5000 0.0000 0.5000
Pd2 Pd 0.5000 0.5000 0.0000
F1 F 0.1738 0.0545 0.2916
F2 F 0.1738 0.4455 0.7916
F3 F 0.3203 0.6720 0.0571
F4 F 0.3203 0.8280 0.5571
F5 F 0.4140 0.2420 0.5690
F6 F 0.4140 0.2580 0.0690
F7 F 0.5860 0.7420 0.9310
F8 F 0.5860 0.7580 0.4310
F9 F 0.6797 0.1720 0.4429
F10 F 0.6797 0.3280 0.9429
F11 F 0.8262 0.5545 0.2084
F12 F 0.8262 0.9455 0.7084
# Crystal system: monoclinic
# E_tot in eV per atom: -4.139
# Volume in Å³/atom: 21.5
# Total moment in μB/atom: 0.10
# E_form (uncorrected) in eV per atom: -2.22
# Symmetry: P2_1/c
# Energy relative to the lowest polymorph listed for this composition in meV per atom: 0

***

# 4
# Mn2CrP (GGA-PBE, relaxed)
data_Mn2CrP
_chemical_formula_sum 'Mn2 Cr1 P1'
_space_group_name_H-M_alt 'P 1'
_space_group_IT_number 1
_cell_length_a 4.6381
_cell_length_b 4.6381
_cell_length_c 4.6381
_cell_angle_alpha 145.46
_cell_angle_beta 129.20
_cell_angle_gamma 62.89
loop_
_space_group_symop_operation_xyz
'x,y,z'
loop_
_atom_site_label
_atom_site_type_symbol
_atom_site_fract_x
_atom_site_fract_y
_atom_site_fract_z
Mn1 Mn 0.2302 0.2302 0.0000
Mn2 Mn 0.7698 0.7698 0.0000
Cr1 Cr 0.5000 0.0000 0.5000
P1 P 0.0000 0.5000 0.5000
# Crystal system: orthorhombic
# E_tot in eV per atom: -8.554
# Volume in Å³/atom: 10.8
# Total moment in μB/atom: 0.01
# ΔE_f in kJ per mole of atoms: -20
# Symmetry: Immm
# DOS(E_F) in states/eV/atom: 1.070

***

# 5
# Y3InRh2 (GGA-PBE, relaxed)
data_Y3InRh2
_chemical_formula_sum 'Y3 In1 Rh2'
_space_group_name_H-M_alt 'P 1'
_space_group_IT_number 1
_cell_length_a 3.3849
_cell_length_b 3.3849
_cell_length_c 11.8705
_cell_angle_alpha 90.00
_cell_angle_beta 90.00
_cell_angle_gamma 90.00
loop_
_space_group_symop_operation_xyz
'x,y,z'
loop_
_atom_site_label
_atom_site_type_symbol
_atom_site_fract_x
_atom_site_fract_y
_atom_site_fract_z
Y1 Y 0.0000 0.0000 0.0000
Y2 Y 0.0000 0.0000 0.2966
Y3 Y 0.0000 0.0000 0.7034
In1 In 0.5000 0.5000 0.5000
Rh1 Rh 0.5000 0.5000 0.1511
Rh2 Rh 0.5000 0.5000 0.8489
# Crystal system: tetragonal
# E_tot in eV per atom: -6.849
# Volume in Å³/atom: 22.7
# Total moment in μB/atom: 0.00
# ΔE_f in kJ per mole of atoms: -69
# Symmetry: P4/mmm
# DOS(E_F) in states/eV/atom: 0.843

***

# 6
# Na2In2Au (GGA-PBE, relaxed)
data_Na2In2Au
_chemical_formula_sum 'Na4 In4 Au2'
_space_group_name_H-M_alt 'P 1'
_space_group_IT_number 1
_cell_length_a 7.2082
_cell_length_b 7.2082
_cell_length_c 5.2211
_cell_angle_alpha 90.00
_cell_angle_beta 90.00
_cell_angle_gamma 90.00
loop_
_space_group_symop_operation_xyz
'x,y,z'
loop_
_atom_site_label
_atom_site_type_symbol
_atom_site_fract_x
_atom_site_fract_y
_atom_site_fract_z
Na1 Na 0.1718 0.3282 0.0000
Na2 Na 0.3282 0.8282 0.0000
Na3 Na 0.6718 0.1718 0.0000
Na4 Na 0.8282 0.6718 0.0000
In1 In 0.1423 0.6423 0.5000
In2 In 0.3577 0.1423 0.5000
In3 In 0.6423 0.8577 0.5000
In4 In 0.8577 0.3577 0.5000
Au1 Au 0.0000 0.0000 0.5000
Au2 Au 0.5000 0.5000 0.5000
# Crystal system: tetragonal
# E_tot in eV per atom: -2.451
# Volume in Å³/atom: 27.1
# Total moment in μB/atom: 0.00
# ΔE_f in kJ per mole of atoms: -17
# Symmetry: P4/mbm
# Energy relative to the lowest polymorph listed for this composition in meV per atom: 11
# DOS(E_F) in states/eV/atom: 0.484

***

# 7
# La2MnOs (GGA-PBE, relaxed)
data_La2MnOs
_chemical_formula_sum 'La2 Mn1 Os1'
_space_group_name_H-M_alt 'P 1'
_space_group_IT_number 1
_cell_length_a 5.7971
_cell_length_b 5.7971
_cell_length_c 5.7971
_cell_angle_alpha 139.94
_cell_angle_beta 129.49
_cell_angle_gamma 66.34
loop_
_space_group_symop_operation_xyz
'x,y,z'
loop_
_atom_site_label
_atom_site_type_symbol
_atom_site_fract_x
_atom_site_fract_y
_atom_site_fract_z
La1 La 0.0000 0.0000 0.0000
La2 La 0.6982 0.1982 0.5000
Mn1 Mn 0.4105 0.4105 0.0000
Os1 Os 0.2965 0.7965 0.5000
# Crystal system: orthorhombic
# E_tot in eV per atom: -7.389
# Volume in Å³/atom: 23.8
# Total moment in μB/atom: 0.27
# ΔE_f in kJ per mole of atoms: 17
# Symmetry: Imm2
# Energy relative to the lowest polymorph listed for this composition in meV per atom: 181
# DOS(E_F) in states/eV/atom: 1.168

***

# 8
# Li2CaAu2 (GGA-PBE, relaxed)
data_Li2CaAu2
_chemical_formula_sum 'Li2 Ca1 Au2'
_space_group_name_H-M_alt 'P 1'
_space_group_IT_number 1
_cell_length_a 4.0602
_cell_length_b 4.0602
_cell_length_c 6.2750
_cell_angle_alpha 90.00
_cell_angle_beta 90.00
_cell_angle_gamma 90.00
loop_
_space_group_symop_operation_xyz
'x,y,z'
loop_
_atom_site_label
_atom_site_type_symbol
_atom_site_fract_x
_atom_site_fract_y
_atom_site_fract_z
Li1 Li 0.0000 0.5000 0.0000
Li2 Li 0.5000 0.0000 0.0000
Ca1 Ca 0.0000 0.0000 0.5000
Au1 Au 0.5000 0.5000 0.2755
Au2 Au 0.5000 0.5000 0.7245
# Crystal system: tetragonal
# E_tot in eV per atom: -3.057
# Volume in Å³/atom: 20.7
# Total moment in μB/atom: 0.00
# ΔE_f in kJ per mole of atoms: -56
# Symmetry: P4/mmm
# Energy relative to the lowest polymorph listed for this composition in meV per atom: 11
# DOS(E_F) in states/eV/atom: 0.382

***

# 9
# Te4Ir5 (GGA-PBE, relaxed)
data_Te4Ir5
_chemical_formula_sum 'Te8 Ir10'
_space_group_name_H-M_alt 'P 1'
_space_group_IT_number 1
_cell_length_a 8.0841
_cell_length_b 8.0841
_cell_length_c 5.9381
_cell_angle_alpha 90.00
_cell_angle_beta 90.00
_cell_angle_gamma 120.00
loop_
_space_group_symop_operation_xyz
'x,y,z'
loop_
_atom_site_label
_atom_site_type_symbol
_atom_site_fract_x
_atom_site_fract_y
_atom_site_fract_z
Te1 Te 0.0000 0.0000 0.0000
Te2 Te 0.0000 0.0000 0.5000
Te3 Te 0.0000 0.3607 0.2500
Te4 Te 0.0000 0.6393 0.7500
Te5 Te 0.3607 0.0000 0.2500
Te6 Te 0.3607 0.3607 0.7500
Te7 Te 0.6393 0.0000 0.7500
Te8 Te 0.6393 0.6393 0.2500
Ir1 Ir 0.0000 0.3244 0.7500
Ir2 Ir 0.0000 0.6756 0.2500
Ir3 Ir 0.3244 0.0000 0.7500
Ir4 Ir 0.3244 0.3244 0.2500
Ir5 Ir 0.3333 0.6667 0.0000
Ir6 Ir 0.3333 0.6667 0.5000
Ir7 Ir 0.6667 0.3333 0.0000
Ir8 Ir 0.6667 0.3333 0.5000
Ir9 Ir 0.6756 0.0000 0.2500
Ir10 Ir 0.6756 0.6756 0.7500
# Crystal system: hexagonal
# E_tot in eV per atom: -5.721
# Volume in Å³/atom: 18.7
# Total moment in μB/atom: 0.00
# E_form (uncorrected) in eV per atom: 0.60
# Symmetry: P6_3/mcm
# Energy relative to the lowest polymorph listed for this composition in meV per atom: 277
# DOS(E_F) in states/eV/atom: 1.252

***

# 10
# Li3SiPd (GGA-PBE, relaxed)
data_Li3SiPd
_chemical_formula_sum 'Li12 Si4 Pd4'
_space_group_name_H-M_alt 'P 1'
_space_group_IT_number 1
_cell_length_a 7.7088
_cell_length_b 7.7088
_cell_length_c 5.5088
_cell_angle_alpha 96.19
_cell_angle_beta 96.19
_cell_angle_gamma 81.18
loop_
_space_group_symop_operation_xyz
'x,y,z'
loop_
_atom_site_label
_atom_site_type_symbol
_atom_site_fract_x
_atom_site_fract_y
_atom_site_fract_z
Li1 Li 0.0640 0.1506 0.4172
Li2 Li 0.1208 0.5449 0.4098
Li3 Li 0.1506 0.0640 0.9172
Li4 Li 0.3396 0.4388 0.0641
Li5 Li 0.4388 0.3396 0.5641
Li6 Li 0.4551 0.8792 0.0902
Li7 Li 0.5449 0.1208 0.9098
Li8 Li 0.5612 0.6604 0.4359
Li9 Li 0.6604 0.5612 0.9359
Li10 Li 0.8494 0.9360 0.0828
Li11 Li 0.8792 0.4551 0.5902
Li12 Li 0.9360 0.8494 0.5828
Si1 Si 0.0410 0.6317 0.9281
Si2 Si 0.3683 0.9590 0.5719
Si3 Si 0.6317 0.0410 0.4281
Si4 Si 0.9590 0.3683 0.0719
Pd1 Pd 0.1887 0.8113 0.2500
Pd2 Pd 0.2997 0.7003 0.7500
Pd3 Pd 0.7003 0.2997 0.2500
Pd4 Pd 0.8113 0.1887 0.7500
# Crystal system: monoclinic
# E_tot in eV per atom: -3.594
# Volume in Å³/atom: 16.0
# Total moment in μB/atom: 0.00
# E_form (uncorrected) in eV per atom: -0.32
# Symmetry: C2/c
# Energy relative to the lowest polymorph listed for this composition in meV per atom: 0
# DOS(E_F) in states/eV/atom: 0.254

***

# 11
# Te2W (GGA-PBE, relaxed)
data_Te2W
_chemical_formula_sum 'Te4 W2'
_space_group_name_H-M_alt 'P 1'
_space_group_IT_number 1
_cell_length_a 6.4112
_cell_length_b 6.4112
_cell_length_c 8.6350
_cell_angle_alpha 118.49
_cell_angle_beta 118.49
_cell_angle_gamma 31.39
loop_
_space_group_symop_operation_xyz
'x,y,z'
loop_
_atom_site_label
_atom_site_type_symbol
_atom_site_fract_x
_atom_site_fract_y
_atom_site_fract_z
Te1 Te 0.0000 0.0000 0.0000
Te2 Te 0.2407 0.2407 0.4996
Te3 Te 0.2863 0.2863 0.0704
Te4 Te 0.5168 0.5168 0.5612
W1 W 0.6865 0.6865 0.2240
W2 W 0.9799 0.9799 0.3019
# Crystal system: monoclinic
# E_tot in eV per atom: -6.284
# Volume in Å³/atom: 26.8
# Total moment in μB/atom: 0.00
# E_form (uncorrected) in eV per atom: 0.13
# Symmetry: Cm
# DOS(E_F) in states/eV/atom: 0.185

***

# 12
# Pr2Mg3Cd12Ag (GGA-PBE, relaxed)
data_Pr2Mg3Cd12Ag
_chemical_formula_sum 'Pr2 Mg3 Cd12 Ag1'
_space_group_name_H-M_alt 'P 1'
_space_group_IT_number 1
_cell_length_a 13.8231
_cell_length_b 13.8231
_cell_length_c 13.8231
_cell_angle_alpha 26.61
_cell_angle_beta 26.61
_cell_angle_gamma 26.61
loop_
_space_group_symop_operation_xyz
'x,y,z'
loop_
_atom_site_label
_atom_site_type_symbol
_atom_site_fract_x
_atom_site_fract_y
_atom_site_fract_z
Pr1 Pr 0.1412 0.1412 0.1412
Pr2 Pr 0.8588 0.8588 0.8588
Mg1 Mg 0.0000 0.5000 0.5000
Mg2 Mg 0.5000 0.0000 0.5000
Mg3 Mg 0.5000 0.5000 0.0000
Cd1 Cd 0.0978 0.0978 0.6316
Cd2 Cd 0.0978 0.6316 0.0978
Cd3 Cd 0.1047 0.6202 0.6202
Cd4 Cd 0.3684 0.9022 0.9022
Cd5 Cd 0.3798 0.3798 0.8953
Cd6 Cd 0.3798 0.8953 0.3798
Cd7 Cd 0.6202 0.1047 0.6202
Cd8 Cd 0.6202 0.6202 0.1047
Cd9 Cd 0.6316 0.0978 0.0978
Cd10 Cd 0.8953 0.3798 0.3798
Cd11 Cd 0.9022 0.3684 0.9022
Cd12 Cd 0.9022 0.9022 0.3684
Ag1 Ag 0.5000 0.5000 0.5000
# Crystal system: trigonal
# E_tot in eV per atom: -1.610
# Volume in Å³/atom: 25.9
# Total moment in μB/atom: 0.00
# ΔE_f in kJ per mole of atoms: -4
# Symmetry: R-3m
# DOS(E_F) in states/eV/atom: 0.525

***

Question: Number 7 is which compound?
Answer: La2MnOs

***

Question: What is the volume in the fourth record?
Answer: 10.8 Å³/atom